Record 1
Here is a geometry-optimized AgAs2S4 structure from Alexandria. Energies are from PBE.

a = 3.610 Å, b = 6.254 Å, c = 12.742 Å
α = 90.00°, β = 90.00°, γ = 106.78°
Positions (direct):
Ag: 0.599 0.197 0.750
Ag: 0.401 0.803 0.250
As: 0.136 0.273 0.431
As: 0.864 0.727 0.931
As: 0.136 0.273 0.069
As: 0.864 0.727 0.569
S: 0.770 0.540 0.117
S: 0.770 0.540 0.383
S: 0.230 0.460 0.883
S: 0.230 0.460 0.617
S: 0.947 0.895 0.750
S: 0.053 0.105 0.250
S: 0.500 0.000 0.000
S: 0.500 0.000 0.500

Total moment   0.00 μB per cell
ρ   4.7 g/cm³
E_form (uncorrected)   0.0589 eV per atom
Final energy   -4.0354 eV/atom



Record 2
Here is a geometry-optimized AgAs2S3 structure from Alexandria. Energies are from PBE.

a = 6.036 Å, b = 7.261 Å, c = 7.261 Å
α = 101.38°, β = 90.00°, γ = 90.00°
Positions (direct):
Ag: 0.067 0.841 0.841
Ag: 0.567 0.159 0.159
As: 0.547 0.808 0.547
As: 0.047 0.453 0.192
As: 0.547 0.547 0.808
As: 0.047 0.192 0.453
S: 0.907 0.858 0.519
S: 0.407 0.481 0.142
S: 0.907 0.519 0.858
S: 0.407 0.142 0.481
S: 0.483 0.873 0.873
S: 0.983 0.127 0.127

Total moment   0.00 μB per cell
ρ   3.8 g/cm³
E_form (uncorrected)   0.0073 eV per atom
Final energy   -4.0815 eV/atom



Record 3
Here is a geometry-optimized Ag2As2S3 structure from Alexandria. Energies are from PBE.

a = 3.581 Å, b = 6.273 Å, c = 6.603 Å
α = 103.09°, β = 105.73°, γ = 90.00°
Positions (direct):
Ag: 0.094 0.405 0.189
Ag: 0.906 0.595 0.811
As: 0.377 0.164 0.754
As: 0.623 0.836 0.246
S: 0.000 0.000 0.000
S: 0.243 0.761 0.485
S: 0.757 0.239 0.515

Total moment   0.00 μB per cell
ρ   5.5 g/cm³
E_form (uncorrected)   0.0775 eV per atom
Final energy   -3.8345 eV/atom



Record 4
Here is a geometry-optimized AgAs2S6 structure from Alexandria. Energies are from PBE.

a = 6.214 Å, b = 8.648 Å, c = 8.648 Å
α = 86.25°, β = 76.12°, γ = 76.12°
Positions (direct):
Ag: 0.250 0.135 0.865
Ag: 0.750 0.865 0.135
As: 0.235 0.620 0.796
As: 0.265 0.204 0.380
As: 0.765 0.380 0.204
As: 0.735 0.796 0.620
S: 0.452 0.703 0.564
S: 0.048 0.436 0.297
S: 0.548 0.297 0.436
S: 0.952 0.564 0.703
S: 0.902 0.876 0.395
S: 0.598 0.605 0.124
S: 0.098 0.124 0.605
S: 0.402 0.395 0.876
S: 0.146 0.818 0.964
S: 0.354 0.036 0.182
S: 0.854 0.182 0.036
S: 0.646 0.964 0.818

Total moment   0.00 μB per cell
ρ   3.4 g/cm³
E_form (uncorrected)   0.1709 eV per atom
Final energy   -3.9307 eV/atom



Record 5
Here is a geometry-optimized AgAs2S2 structure from Alexandria. Energies are from PBE.

a = 7.941 Å, b = 7.941 Å, c = 3.476 Å
α = 90.00°, β = 90.00°, γ = 90.00°
Positions (direct):
As: 0.276 0.776 0.000
As: 0.776 0.724 0.000
As: 0.724 0.224 0.000
As: 0.224 0.276 0.000
S: 0.139 0.639 0.500
S: 0.639 0.861 0.500
S: 0.861 0.361 0.500
S: 0.361 0.139 0.500
Ag: 0.000 0.000 0.000
Ag: 0.500 0.500 0.000

Total moment   0.00 μB per cell
ρ   4.9 g/cm³
E_form (uncorrected)   0.1674 eV per atom
Final energy   -3.9137 eV/atom



Record 6
Here is a geometry-optimized Ag2SbAsS4 structure from Alexandria. Energies are from PBE.

a = 7.723 Å, b = 7.723 Å, c = 7.846 Å
α = 120.50°, β = 120.50°, γ = 89.73°
Positions (direct):
Ag: 0.500 0.000 0.000
Ag: 0.500 0.000 0.500
Ag: 0.000 0.000 0.500
Ag: 0.500 0.500 0.000
Sb: 0.000 0.500 0.000
Sb: 0.000 0.500 0.500
As: 0.500 0.500 0.500
As: 0.000 0.000 0.000
S: 0.246 0.759 0.002
S: 0.741 0.254 0.498
S: 0.259 0.746 0.502
S: 0.754 0.241 0.998
S: 0.748 0.751 0.983
S: 0.749 0.752 0.517
S: 0.251 0.248 0.483
S: 0.252 0.249 0.017

Total moment   0.00 μB per cell
ρ   5.5 g/cm³
E_form (uncorrected)   -0.0729 eV per atom
Final energy   -3.9459 eV/atom



Record 7
Here is a geometry-optimized AgAsSe2S structure from Alexandria. Energies are from PBE.

a = 4.894 Å, b = 4.894 Å, c = 4.860 Å
α = 90.00°, β = 90.00°, γ = 90.00°
Positions (direct):
S: 0.000 0.000 0.000
As: 0.000 0.000 0.500
Se: 0.000 0.500 0.000
Se: 0.500 0.000 0.000
Ag: 0.500 0.500 0.500

Total moment   1.05 μB per cell
ρ   5.3 g/cm³
Energy relative to the lowest polymorph listed for this composition   0.0000 eV/atom
E_form (uncorrected)   0.6589 eV per atom
Final energy   -3.0606 eV/atom



Record 8
Here is a geometry-optimized AgAs2SeS structure from Alexandria. Energies are from PBE.

a = 4.852 Å, b = 4.852 Å, c = 4.854 Å
α = 90.00°, β = 90.00°, γ = 90.00°
Positions (direct):
S: 0.000 0.000 0.000
As: 0.000 0.500 0.000
As: 0.500 0.000 0.000
Se: 0.000 0.000 0.500
Ag: 0.500 0.500 0.500

Total moment   0.65 μB per cell
ρ   5.4 g/cm³
Energy relative to the lowest polymorph listed for this composition   0.0000 eV/atom
E_form (uncorrected)   0.7378 eV per atom
Final energy   -3.2147 eV/atom



Record 9
Here is a geometry-optimized AgAsSe2S structure from Alexandria. Energies are from PBE.

a = 5.006 Å, b = 5.006 Å, c = 5.033 Å
α = 90.00°, β = 90.00°, γ = 90.00°
Positions (direct):
S: 0.500 0.500 0.500
As: 0.000 0.000 0.500
Se: 0.000 0.500 0.000
Se: 0.500 0.000 0.000
Ag: 0.000 0.000 0.000

Total moment   0.00 μB per cell
ρ   4.9 g/cm³
Energy relative to the lowest polymorph listed for this composition   0.4142 eV/atom
E_form (uncorrected)   1.0731 eV per atom
Final energy   -2.6464 eV/atom



Record 10
Here is a geometry-optimized AgAs2SeS structure from Alexandria. Energies are from PBE.

a = 5.025 Å, b = 5.025 Å, c = 4.960 Å
α = 90.00°, β = 90.00°, γ = 90.00°
Positions (direct):
S: 0.500 0.500 0.500
As: 0.000 0.500 0.000
As: 0.500 0.000 0.000
Se: 0.000 0.000 0.500
Ag: 0.000 0.000 0.000

Total moment   0.26 μB per cell
ρ   4.9 g/cm³
Energy relative to the lowest polymorph listed for this composition   0.3781 eV/atom
E_form (uncorrected)   1.1158 eV per atom
Final energy   -2.8366 eV/atom



Record 11
Here is a geometry-optimized AgAsSeS structure from Alexandria. Energies are from PBE.

a = 5.458 Å, b = 3.800 Å, c = 6.085 Å
α = 90.12°, β = 87.16°, γ = 45.93°
Positions (direct):
Ag: 0.834 0.339 0.543
As: 0.332 0.340 0.009
Se: 0.903 0.266 0.101
S: 0.350 0.321 0.644

Total moment   0.00 μB per cell
ρ   5.4 g/cm³
E_form (uncorrected)   -0.0971 eV per atom
Final energy   -3.8753 eV/atom



Record 12
Here is a geometry-optimized SiAg2AsS4 structure from Alexandria. Energies are from PBE.

a = 5.740 Å, b = 5.463 Å, c = 8.359 Å
α = 126.33°, β = 95.88°, γ = 83.29°
Positions (direct):
Si: 0.713 0.719 0.454
Ag: 0.728 0.950 0.167
Ag: 0.178 0.238 0.494
As: 0.869 0.598 0.795
S: 0.536 0.651 0.644
S: 0.965 0.369 0.266
S: 0.455 0.775 0.278
S: 0.942 0.087 0.676

Total moment   0.00 μB per cell
ρ   3.5 g/cm³
E_form (uncorrected)   -0.2028 eV per atom
Final energy   -4.2384 eV/atom